Record 1
A plane-wave DFT calculation with PBE-GGA was carried out for an optimized crystal structure of ZrCo3H.

Cell: 4.626 4.626 4.626 Å, 90.00 90.00 90.00°
Last column: magnetic moment on the atom in μB.
Atoms (fractional coordinates):
H  0.500  0.500  0.500  0.09
Co  0.000  0.500  0.000  0.84
Co  0.000  0.000  0.500  1.00
Co  0.500  0.000  0.000  0.72
Zr  0.000  0.000  0.000  -0.32

Calculated values
* DOS(E_F): 1.22 states/eV per atom
* uncorrected energy: -4.553 eV per atom
* offset from the most stable computed form: 2283 meV/atom

Record 2
A plane-wave DFT calculation with PBE-GGA was carried out for an optimized crystal structure of Zr3Co5H12.

Cell: 9.335 9.335 9.335 Å, 109.47 109.47 109.47°
Last column: magnetic moment on the atom in μB.
Atoms (fractional coordinates):
Zr  0.750  0.375  0.125  0.15
Zr  0.875  0.750  0.125  0.15
Zr  0.375  0.750  0.625  0.15
Zr  0.250  0.125  0.375  0.15
Zr  0.875  0.125  0.250  0.15
Zr  0.375  0.625  0.250  0.15
Zr  0.625  0.375  0.750  0.15
Zr  0.125  0.875  0.750  0.15
Zr  0.750  0.875  0.625  0.15
Zr  0.625  0.250  0.375  0.15
Zr  0.125  0.250  0.875  0.15
Zr  0.250  0.625  0.875  0.15
Co  0.125  0.375  0.250  1.06
Co  0.000  0.500  0.000  0.97
Co  0.000  0.000  0.000  0.97
Co  0.375  0.250  0.125  1.06
Co  0.500  0.000  0.500  0.97
Co  0.500  0.500  0.000  0.97
Co  0.125  0.750  0.375  1.06
Co  0.750  0.125  0.875  1.06
Co  0.750  0.625  0.375  1.06
Co  0.375  0.125  0.750  1.06
Co  0.625  0.875  0.250  1.06
Co  0.500  0.500  0.500  0.97
Co  0.500  0.000  0.000  0.97
Co  0.000  0.000  0.500  0.97
Co  0.250  0.375  0.625  1.06
Co  0.250  0.875  0.125  1.06
Co  0.000  0.500  0.500  0.97
Co  0.875  0.250  0.625  1.06
Co  0.625  0.750  0.875  1.06
Co  0.875  0.625  0.750  1.06
H  0.700  0.116  0.027  0.00
H  0.327  0.527  0.411  0.00
H  0.973  0.384  0.300  0.00
H  0.527  0.200  0.116  0.00
H  0.584  0.700  0.673  0.00
H  0.973  0.589  0.173  0.00
H  0.327  0.800  0.416  0.00
H  0.089  0.916  0.116  0.00
H  0.589  0.973  0.673  0.00
H  0.700  0.584  0.173  0.00
H  0.800  0.473  0.384  0.00
H  0.827  0.911  0.027  0.00
H  0.116  0.700  0.527  0.00
H  0.384  0.411  0.084  0.00
H  0.084  0.911  0.384  0.00
H  0.416  0.116  0.589  0.00
H  0.084  0.173  0.200  0.00
H  0.473  0.673  0.089  0.00
H  0.827  0.916  0.300  0.00
H  0.116  0.416  0.089  0.00
H  0.384  0.973  0.800  0.00
H  0.589  0.616  0.416  0.00
H  0.911  0.827  0.527  0.00
H  0.800  0.327  0.916  0.00
H  0.411  0.384  0.584  0.00
H  0.089  0.173  0.473  0.00
H  0.200  0.673  0.084  0.00
H  0.173  0.084  0.700  0.00
H  0.616  0.027  0.200  0.00
H  0.884  0.584  0.911  0.00
H  0.527  0.327  0.911  0.00
H  0.584  0.884  0.411  0.00
H  0.916  0.827  0.800  0.00
H  0.916  0.089  0.616  0.00
H  0.884  0.300  0.473  0.00
H  0.173  0.089  0.973  0.00
H  0.616  0.589  0.916  0.00
H  0.411  0.027  0.327  0.00
H  0.300  0.416  0.827  0.00
H  0.200  0.527  0.616  0.00
H  0.911  0.084  0.884  0.00
H  0.673  0.200  0.584  0.00
H  0.473  0.800  0.884  0.00
H  0.027  0.411  0.827  0.00
H  0.416  0.300  0.327  0.00
H  0.027  0.616  0.700  0.00
H  0.673  0.473  0.589  0.00
H  0.300  0.884  0.973  0.00

Calculated values
* DOS(E_F): 0.44 states/eV per atom
* uncorrected energy: -5.251 eV per atom

Record 3
A plane-wave DFT calculation with PBE-GGA was carried out for an optimized crystal structure of ZrCo3H.

Cell: 3.755 3.755 3.755 Å, 90.00 90.00 90.00°
Last column: magnetic moment on the atom in μB.
Atoms (fractional coordinates):
H  0.000  0.000  0.000  0.00
Co  0.000  0.500  0.000  0.09
Co  0.000  0.000  0.500  0.09
Co  0.500  0.000  0.000  0.08
Zr  0.500  0.500  0.500  -0.03

Calculated values
* DOS(E_F): 0.90 states/eV per atom
* uncorrected energy: -6.836 eV per atom
* offset from the most stable computed form: 0 meV/atom